[1]
# NaCaInGe (GGA-PBE, relaxed)
# V: 25.392 Å³/atom
# calculated density: 4.096 g cm⁻³
# ΔH_f (0 K): -0.244 eV per atom
data_NaCaInGe
_chemical_formula_sum 'Na4 Ca4 In4 Ge4'
_space_group_name_H-M_alt 'F -4 3 m'
_space_group_IT_number 216
_space_group_name_Hall 'F -4 2 3'
_cell_length_a 7.4064
_cell_length_b 7.4064
_cell_length_c 7.4064
_cell_angle_alpha 90.00
_cell_angle_beta 90.00
_cell_angle_gamma 90.00
loop_
_atom_site_label
_atom_site_type_symbol
_atom_site_fract_x
_atom_site_fract_y
_atom_site_fract_z
_atom_site_occupancy
Na1 Na 0.0000 0.0000 0.0000 1
Ca1 Ca 0.0000 0.0000 0.5000 1
In1 In 0.2500 0.2500 0.7500 1
Ge1 Ge 0.2500 0.2500 0.2500 1

[2]
# Na2CaIn2Ge2 (GGA-PBE, relaxed)
# V: 24.241 Å³/atom
# calculated density: 4.511 g cm⁻³
# ΔH_f (0 K): -0.195 eV per atom
data_Na2CaIn2Ge2
_chemical_formula_sum 'Na6 Ca3 In6 Ge6'
_space_group_name_H-M_alt 'R -3 m'
_space_group_IT_number 166
_space_group_name_Hall '-R 3 2"'
_cell_length_a 4.7315
_cell_length_b 4.7315
_cell_length_c 26.2565
_cell_angle_alpha 90.00
_cell_angle_beta 90.00
_cell_angle_gamma 120.00
loop_
_atom_site_label
_atom_site_type_symbol
_atom_site_fract_x
_atom_site_fract_y
_atom_site_fract_z
_atom_site_occupancy
Na1 Na 0.0000 0.0000 0.1466 1
Ca1 Ca 0.0000 0.0000 0.0000 1
In1 In 0.0000 0.0000 0.4304 1
Ge1 Ge 0.0000 0.0000 0.2691 1

[3]
# Ca2InNi4Ge3 (GGA-PBE, relaxed)
# V: 17.469 Å³/atom
# calculated density: 6.157 g cm⁻³
# ΔH_f (0 K): -0.450 eV per atom
data_Ca2InNi4Ge3
_chemical_formula_sum 'Ca2 In1 Ni4 Ge3'
_space_group_name_H-M_alt 'P -4 m 2'
_space_group_IT_number 115
_cell_length_a 4.1737
_cell_length_b 4.1737
_cell_length_c 10.0280
_cell_angle_alpha 90.00
_cell_angle_beta 90.00
_cell_angle_gamma 90.00
loop_
_space_group_symop_operation_xyz
'x,y,z'
'y,-x,-z'
'-x,-y,z'
'-y,x,-z'
'-x,y,z'
'-y,-x,-z'
'x,-y,z'
'y,x,-z'
loop_
_atom_site_label
_atom_site_type_symbol
_atom_site_fract_x
_atom_site_fract_y
_atom_site_fract_z
_atom_site_occupancy
Ca1 Ca 0.0000 0.5000 0.2381 1
In1 In 0.0000 0.0000 0.5000 1
Ni1 Ni 0.0000 0.0000 0.0000 1
Ni2 Ni 0.0000 0.5000 0.6470 1
Ni3 Ni 0.5000 0.5000 0.0000 1
Ge1 Ge 0.0000 0.5000 0.8818 1
Ge2 Ge 0.5000 0.5000 0.5000 1

[4]
# CaIn2Ni2Ge (GGA-PBE, relaxed)
# V: 20.450 Å³/atom
# calculated density: 6.222 g cm⁻³
# ΔH_f (0 K): -0.242 eV per atom
data_CaIn2Ni2Ge
_chemical_formula_sum 'Ca1 In2 Ni2 Ge1'
_space_group_name_H-M_alt 'P 4/m m m'
_space_group_IT_number 123
_space_group_name_Hall '-P 4 2'
_cell_length_a 4.5005
_cell_length_b 4.5005
_cell_length_c 6.0579
_cell_angle_alpha 90.00
_cell_angle_beta 90.00
_cell_angle_gamma 90.00
loop_
_atom_site_label
_atom_site_type_symbol
_atom_site_fract_x
_atom_site_fract_y
_atom_site_fract_z
_atom_site_occupancy
Ca1 Ca 0.0000 0.0000 0.0000 1
In1 In 0.5000 0.5000 0.2422 1
Ni1 Ni 0.0000 0.5000 0.5000 1
Ge1 Ge 0.0000 0.0000 0.5000 1

[5]
# CaIn2GeO6 (GGA-PBE, relaxed)
# V: 12.621 Å³/atom
# calculated density: 5.768 g cm⁻³
# formation energy from raw total energies: -1.868 eV/atom
data_CaIn2GeO6
_chemical_formula_sum 'Ca3 In6 Ge3 O18'
_space_group_name_H-M_alt 'R 3'
_space_group_IT_number 146
_space_group_name_Hall 'R 3'
_cell_length_a 5.4656
_cell_length_b 5.4656
_cell_length_c 14.6351
_cell_angle_alpha 90.00
_cell_angle_beta 90.00
_cell_angle_gamma 120.00
loop_
_atom_site_label
_atom_site_type_symbol
_atom_site_fract_x
_atom_site_fract_y
_atom_site_fract_z
_atom_site_occupancy
Ca1 Ca 0.0000 0.0000 0.0000 1
In1 In 0.0000 0.0000 0.2762 1
In2 In 0.0000 0.0000 0.7852 1
Ge1 Ge 0.0000 0.0000 0.4832 1
O1 O 0.0115 0.7323 0.3961 1
O2 O 0.0132 0.3727 0.2169 1

[6]
# Ca2InGeO6 (GGA-PBE, relaxed)
# V: 13.949 Å³/atom
# calculated density: 4.328 g cm⁻³
# formation energy from raw total energies: -1.971 eV/atom
data_Ca2InGeO6
_chemical_formula_sum 'Ca2 In1 Ge1 O6'
_space_group_name_H-M_alt 'P 4 m m'
_space_group_IT_number 99
_cell_length_a 5.1867
_cell_length_b 5.1867
_cell_length_c 5.1852
_cell_angle_alpha 90.00
_cell_angle_beta 90.00
_cell_angle_gamma 90.00
loop_
_space_group_symop_operation_xyz
'x,y,z'
'-y,x,z'
'-x,-y,z'
'y,-x,z'
'-x,y,z'
'y,x,z'
'x,-y,z'
'-y,-x,z'
loop_
_atom_site_label
_atom_site_type_symbol
_atom_site_fract_x
_atom_site_fract_y
_atom_site_fract_z
_atom_site_occupancy
Ca1 Ca 0.0000 0.5000 0.0000 1
In1 In 0.0000 0.0000 0.5243 1
Ge1 Ge 0.5000 0.5000 0.5592 1
O1 O 0.0000 0.0000 0.1319 1
O2 O 0.2647 0.2647 0.6945 1
O3 O 0.5000 0.5000 0.2168 1

[7]
# CaInGePd3 (GGA-PBE, relaxed)
# V: 22.645 Å³/atom
# calculated density: 6.683 g cm⁻³
# ΔH_f (0 K): -0.467 eV per atom
data_CaInGePd3
_chemical_formula_sum 'Ca4 In4 Ge4 Pd12'
_space_group_name_H-M_alt 'C m c m'
_space_group_IT_number 63
_space_group_name_Hall '-C 2c 2'
_cell_length_a 5.6636
_cell_length_b 16.7782
_cell_length_c 5.7193
_cell_angle_alpha 90.00
_cell_angle_beta 90.00
_cell_angle_gamma 90.00
loop_
_atom_site_label
_atom_site_type_symbol
_atom_site_fract_x
_atom_site_fract_y
_atom_site_fract_z
_atom_site_occupancy
Ca1 Ca 0.0000 0.2144 0.2500 1
In1 In 0.0000 0.1107 0.7500 1
Ge1 Ge 0.0000 0.4126 0.7500 1
Pd1 Pd 0.0000 0.2679 0.7500 1
Pd2 Pd 0.2483 0.0000 0.0000 1

[8]
# Ca3InGe2Pd9 (GGA-PBE, relaxed)
# V: 22.238 Å³/atom
# calculated density: 6.661 g cm⁻³
# ΔH_f (0 K): -0.504 eV per atom
data_Ca3InGe2Pd9
_chemical_formula_sum 'Ca3 In1 Ge2 Pd9'
_space_group_name_H-M_alt 'P -3 m 1'
_space_group_IT_number 164
_space_group_name_Hall '-P 3 2"'
_cell_length_a 5.7860
_cell_length_b 5.7860
_cell_length_c 11.5054
_cell_angle_alpha 90.00
_cell_angle_beta 90.00
_cell_angle_gamma 120.00
loop_
_atom_site_label
_atom_site_type_symbol
_atom_site_fract_x
_atom_site_fract_y
_atom_site_fract_z
_atom_site_occupancy
Ca1 Ca 0.0000 0.0000 0.0000 1
Ca2 Ca 0.3333 0.6667 0.7613 1
In1 In 0.0000 0.0000 0.5000 1
Ge1 Ge 0.3333 0.6667 0.1600 1
Pd1 Pd 0.0000 0.5000 0.0000 1
Pd2 Pd 0.1585 0.3170 0.3052 1